Entry 1:
First-principles (GGA-PBE) data for an optimized crystal structure of Nd3GdPt4, as listed in the Open Quantum Materials Database.

Cell: 5.6903 4.5962 7.2825 Å, 90.00 90.37 90.00°
Closest atoms and distances in Å follow each position.
Positions (direct):
Gd  0.1398  0.0000  0.3173  7 Pt 2.94-3.09
Nd  0.6402  0.5000  0.1835  7 Pt 2.93-3.10
Nd  0.8608  0.5000  0.6808  7 Pt 2.94-3.16
Nd  0.3597  0.0000  0.8171  7 Pt 2.97-3.15
Pt  0.1526  0.5000  0.0511  5 Nd 2.93-3.16, 2 Pt 2.95, 2 Gd 3.01
Pt  0.6551  0.0000  0.4532  2 Gd 2.94-3.09, 2 Pt 2.97, 5 Nd 3.02-3.15
Pt  0.3423  0.5000  0.5378  5 Nd 2.94-3.12, 2 Pt 2.97, 2 Gd 3.03
Pt  0.8494  0.0000  0.9592  2 Pt 2.95, 6 Nd 2.97-3.09, 1 Gd 3.08

Summary:
**Formation enthalpy at 0 K**: -1173 meV per atom

Entry 2:
First-principles (GGA-PBE) data for an optimized crystal structure of AsPtPbO, as listed in the Open Quantum Materials Database.

Cell: 4.0707 4.7539 7.7704 Å, 90.00 90.00 90.00°
Closest atoms and distances in Å follow each position.
Positions (direct):
As  0.0000  0.2172  0.2651  2 Pt 2.50-2.52
As  0.0000  0.7828  0.7651  2 Pt 2.50-2.52
O  0.5000  0.7369  0.4271  2 Pt 2.09
O  0.5000  0.2631  0.9271  2 Pt 2.09
Pb  0.5000  0.8149  0.1094  2 O 2.50-2.56
Pb  0.5000  0.1851  0.6094  2 O 2.50-2.56
Pt  0.0000  0.6440  0.4524  2 O 2.09
Pt  0.0000  0.3560  0.9524  2 O 2.09

Summary:
**Calculated total energy**: -5.036 eV/atom

Entry 3:
First-principles (GGA-PBE) data for an optimized crystal structure of ScSiTc, as listed in the Open Quantum Materials Database.

Cell: 3.2971 3.2971 8.7334 Å, 90.00 90.00 90.00°
Closest atoms and distances in Å follow each position.
Positions (direct):
Sc  0.0000  0.0000  0.1667  5 Tc 2.75-2.91, 4 Si 2.83, 1 Sc 2.91
Sc  0.0000  0.0000  0.8333  5 Tc 2.75-2.91, 4 Si 2.83, 1 Sc 2.91
Si  0.5000  0.5000  0.3510  1 Si 2.60, 4 Tc 2.67, 4 Sc 2.83
Si  0.5000  0.5000  0.6490  1 Si 2.60, 4 Tc 2.67, 4 Sc 2.83
Tc  0.5000  0.5000  0.0000  8 Sc 2.75, 2 Si 3.07
Tc  0.0000  0.0000  0.5000  8 Si 2.67, 2 Sc 2.91

Summary:
**Calculated total energy**: -7.765 eV/atom

Entry 4:
First-principles (GGA-PBE) data for an optimized crystal structure of Ni3Bi2S2, as listed in the Open Quantum Materials Database.

Cell: 6.8716 6.8716 11.4966 Å, 89.95 89.95 72.13°
Closest atoms and distances in Å follow each position.
Positions (direct):
Bi  0.1231  0.1231  0.1169  6 Ni 2.76-2.95
Bi  0.6244  0.6244  0.1231  6 Ni 2.72-2.83
Bi  0.8754  0.8754  0.3766  6 Ni 2.72-2.84
Bi  0.3770  0.3770  0.3847  6 Ni 2.76-2.94
Bi  0.6230  0.6230  0.6153  6 Ni 2.76-2.94
Bi  0.1246  0.1246  0.6234  6 Ni 2.72-2.84
Bi  0.3756  0.3756  0.8769  6 Ni 2.72-2.83
Bi  0.8769  0.8769  0.8831  6 Ni 2.76-2.95
Ni  0.5000  0.0000  0.0000  2 S 2.18
Ni  0.7380  0.2620  0.0000  2 S 2.18
Ni  0.0000  0.5000  0.0000  2 S 2.18
Ni  0.2620  0.7380  0.0000  2 S 2.18
Ni  0.8758  0.8758  0.1396  2 S 2.18
Ni  0.6242  0.6242  0.3596  2 S 2.18
Ni  0.5000  0.0000  0.5000  2 S 2.18
Ni  0.0000  0.5000  0.5000  2 S 2.18
Ni  0.7622  0.2378  0.5000  2 S 2.18
Ni  0.2378  0.7622  0.5000  2 S 2.18
Ni  0.3758  0.3758  0.6404  2 S 2.18
Ni  0.1242  0.1242  0.8604  2 S 2.18
S  0.6047  0.1439  0.1460  3 Ni 2.18
S  0.1439  0.6047  0.1460  3 Ni 2.18
S  0.8953  0.3559  0.3540  3 Ni 2.18
S  0.3559  0.8953  0.3540  3 Ni 2.18
S  0.6441  0.1047  0.6460  3 Ni 2.18
S  0.1047  0.6441  0.6460  3 Ni 2.18
S  0.8561  0.3953  0.8540  3 Ni 2.18
S  0.3953  0.8561  0.8540  3 Ni 2.18

Summary:
**Calculated total energy**: -5.026 eV/atom

Entry 5:
First-principles (GGA-PBE) data for an optimized crystal structure of GdFe2Ni, as listed in the Open Quantum Materials Database.

Cell: 8.8036 8.8036 8.8036 Å, 32.86 32.86 32.86°
Closest atoms and distances in Å follow each position.
Positions (direct):
Fe  0.5815  0.5815  0.0806  3 Ni 2.48-2.57, 4 Fe 2.49
Fe  0.9194  0.4184  0.4185  3 Ni 2.48-2.57, 4 Fe 2.49
Fe  0.4184  0.9194  0.4185  3 Ni 2.48-2.57, 4 Fe 2.49
Fe  0.5816  0.0806  0.5815  3 Ni 2.48-2.57, 4 Fe 2.49
Fe  0.0806  0.5816  0.5815  3 Ni 2.48-2.57, 4 Fe 2.49
Fe  0.4185  0.4185  0.9194  3 Ni 2.48-2.57, 4 Fe 2.49
Gd  0.0000  0.0000  0.0000  6 Ni 2.88, 12 Fe 3.21
Gd  0.1414  0.1414  0.1414  9 Fe 2.91-3.11, 3 Ni 2.94, 3 Gd 3.14
Gd  0.8586  0.8586  0.8586  9 Fe 2.91-3.11, 3 Ni 2.94, 3 Gd 3.14
Ni  0.3331  0.3331  0.3331  6 Fe 2.48-2.49
Ni  0.5000  0.5000  0.5000  6 Fe 2.57
Ni  0.6669  0.6669  0.6669  6 Fe 2.48-2.49

Summary:
**Formation enthalpy at 0 K**: -118 meV per atom

Entry 6:
First-principles (GGA-PBE) data for an optimized crystal structure of CdGaRe, as listed in the Open Quantum Materials Database.

Cell: 4.4262 4.4262 4.4262 Å, 60.00 60.00 60.00°
Closest atoms and distances in Å follow each position.
Positions (direct):
Cd  0.2500  0.2500  0.2500  4 Re 2.71
Ga  0.7500  0.7500  0.7500  4 Re 2.71
Re  0.0000  0.0000  0.0000  4 Ga 2.71, 4 Cd 2.71

Summary:
**Calculated total energy**: -4.551 eV/atom

Entry 7:
First-principles (GGA-PBE) data for an optimized crystal structure of BeCoB, as listed in the Open Quantum Materials Database.

Cell: 3.3791 3.3791 3.3791 Å, 60.00 60.00 60.00°
Closest atoms and distances in Å follow each position.
Positions (direct):
B  0.2500  0.2500  0.2500  4 Co 2.07
Be  0.7500  0.7500  0.7500  4 Co 2.07
Co  0.0000  0.0000  0.0000  4 B 2.07, 4 Be 2.07

Summary:
**Calculated total energy**: -5.565 eV/atom

Entry 8:
First-principles (GGA-PBE) data for an optimized crystal structure of Dy4GaCu2Ge4, as listed in the Open Quantum Materials Database.

Cell: 7.9857 7.9857 7.0348 Å, 107.19 107.19 30.79°
Closest atoms and distances in Å follow each position.
Positions (direct):
Cu  0.7843  0.7843  0.3623  4 Ge 2.46-2.66
Cu  0.2157  0.2157  0.6377  4 Ge 2.46-2.66
Dy  0.3510  0.3510  0.0658  5 Ge 2.89-3.01, 1 Cu 3.09
Dy  0.5889  0.5889  0.3809  6 Ge 3.02-3.07, 3 Cu 3.05-3.07, 2 Ga 3.36
Dy  0.4111  0.4111  0.6191  6 Ge 3.02-3.07, 3 Cu 3.05-3.07, 2 Ga 3.36
Dy  0.6490  0.6490  0.9342  5 Ge 2.89-3.01, 1 Cu 3.09
Ga  0.0000  0.0000  0.0000  4 Ge 2.78-3.02
Ge  0.1982  0.1982  0.2492  3 Cu 2.50-2.66
Ge  0.9400  0.9400  0.3348  1 Cu 2.46, 1 Ge 2.49
Ge  0.0600  0.0600  0.6652  1 Cu 2.46, 1 Ge 2.49
Ge  0.8018  0.8018  0.7508  3 Cu 2.50-2.66

Summary:
**Calculated total energy**: -5.006 eV/atom

Entry 9:
First-principles (GGA-PBE) data for an optimized crystal structure of ScAlCoAu, as listed in the Open Quantum Materials Database.

Cell: 4.4928 4.4928 4.4928 Å, 60.00 60.00 60.00°
Closest atoms and distances in Å follow each position.
Positions (direct):
Al  0.0000  0.0000  0.0000  4 Co 2.75, 4 Sc 2.75
Au  0.5000  0.5000  0.5000  4 Sc 2.75, 4 Co 2.75
Co  0.7500  0.7500  0.7500  4 Al 2.75, 4 Au 2.75
Sc  0.2500  0.2500  0.2500  4 Au 2.75, 4 Al 2.75

Summary:
**Calculated total energy**: -5.369 eV/atom

Entry 10:
First-principles (GGA-PBE) data for an optimized crystal structure of PaBAs, as listed in the Open Quantum Materials Database.

Cell: 4.4692 4.4692 4.4692 Å, 60.00 60.00 60.00°
Closest atoms and distances in Å follow each position.
Positions (direct):
As  0.2500  0.2500  0.2500  4 Pa 2.74
B  0.7500  0.7500  0.7500  4 Pa 2.74
Pa  0.0000  0.0000  0.0000  4 As 2.74, 4 B 2.74

Summary:
**Calculated total energy**: -6.613 eV/atom

Entry 11:
First-principles (GGA-PBE) data for an optimized crystal structure of Hf4Sc2Ga3N3, as listed in the Open Quantum Materials Database.

Cell: 5.5937 5.5937 14.1909 Å, 101.39 101.39 60.05°
Closest atoms and distances in Å follow each position.
Positions (direct):
Ga  0.2341  0.4180  0.2493  4 Hf 2.88-2.89, 2 Sc 2.93-2.94, 4 Ga 3.16-3.17
Ga  0.9286  0.0714  0.2500  4 Hf 2.90, 2 Sc 2.93, 4 Ga 3.16-3.17
Ga  0.5820  0.7659  0.2507  4 Hf 2.88-2.89, 2 Sc 2.93-2.94, 4 Ga 3.16-3.17
Ga  0.4180  0.2341  0.7493  4 Hf 2.88-2.89, 2 Sc 2.93-2.94, 4 Ga 3.16-3.17
Ga  0.0714  0.9286  0.7500  4 Hf 2.90, 2 Sc 2.93, 4 Ga 3.16-3.17
Ga  0.7659  0.5820  0.7507  4 Hf 2.88-2.89, 2 Sc 2.93-2.94, 4 Ga 3.16-3.17
Hf  0.8592  0.6961  0.0878  3 N 2.22-2.23
Hf  0.1988  0.0262  0.0879  3 N 2.22-2.23
Hf  0.9738  0.8012  0.4121  3 N 2.22-2.23
Hf  0.3039  0.1408  0.4122  3 N 2.22-2.23
Hf  0.6961  0.8592  0.5878  3 N 2.22-2.23
Hf  0.0262  0.1988  0.5879  3 N 2.22-2.23
Hf  0.8012  0.9738  0.9121  3 N 2.22-2.23
Hf  0.1408  0.3039  0.9122  3 N 2.22-2.23
N  0.5000  0.0000  0.0000  4 Hf 2.22, 2 Sc 2.26
N  0.8365  0.3319  0.0000  4 Hf 2.22-2.23, 2 Sc 2.25
N  0.1635  0.6681  0.0000  4 Hf 2.22-2.23, 2 Sc 2.25
N  0.3319  0.8365  0.5000  4 Hf 2.22-2.23, 2 Sc 2.25
N  0.0000  0.5000  0.5000  4 Hf 2.22, 2 Sc 2.26
N  0.6681  0.1635  0.5000  4 Hf 2.22-2.23, 2 Sc 2.25
Sc  0.5302  0.3668  0.0908  3 N 2.25-2.26
Sc  0.6332  0.4698  0.4092  3 N 2.25-2.26
Sc  0.3668  0.5302  0.5908  3 N 2.25-2.26
Sc  0.4698  0.6332  0.9092  3 N 2.25-2.26

Summary:
**Calculated total energy**: -8.405 eV/atom